1.
# La2PmEr3Tm6

A relaxed structure of La2PmEr3Tm6 (PBE, Alexandria via LeMat-Bulk).

Space-group type: No. 12
Energy of formation: 0.34 eV/f.u.

abc: 6.1585 6.1585 11.7077
angles: 95.03 95.03 119.97
Closest atoms and distances in Å follow each position.
Atoms (fractional coordinates):
1 La 0.3334 0.6666 0.0000  3 La 3.55-3.56, 3 Pm 3.56, 6 Tm 3.59
2 La 0.6666 0.3334 0.0000  3 La 3.55-3.56, 3 Pm 3.56, 6 Tm 3.59
3 Pm 0.0000 0.0000 0.0000  6 La 3.56, 6 Tm 3.59
4 Er 0.1665 0.8335 0.5000  6 Tm 3.48-3.49, 6 Er 3.55-3.56
5 Er 0.8335 0.1665 0.5000  6 Tm 3.48-3.49, 6 Er 3.55-3.56
6 Er 0.5000 0.5000 0.5000  6 Tm 3.48-3.49, 6 Er 3.56
7 Tm 0.9144 0.5817 0.7443  3 Er 3.48-3.49, 6 Tm 3.55-3.56, 1 Pm 3.59, 2 La 3.59
8 Tm 0.7530 0.7530 0.2557  3 Er 3.48-3.49, 6 Tm 3.55-3.56, 1 Pm 3.59, 2 La 3.59
9 Tm 0.0856 0.4183 0.2557  3 Er 3.48-3.49, 6 Tm 3.55-3.56, 1 Pm 3.59, 2 La 3.59
10 Tm 0.5817 0.9144 0.7443  3 Er 3.48-3.49, 6 Tm 3.55-3.56, 1 Pm 3.59, 2 La 3.59
11 Tm 0.2470 0.2470 0.7443  3 Er 3.48-3.49, 6 Tm 3.55-3.56, 1 Pm 3.59, 2 La 3.59
12 Tm 0.4183 0.0856 0.2557  3 Er 3.48-3.49, 6 Tm 3.55-3.56, 1 Pm 3.59, 2 La 3.59

---

2.
# LaPmEr2Tm2

A relaxed structure of LaPmEr2Tm2 (PBE, Alexandria via LeMat-Bulk).

Space-group type: No. 58
Energy of formation: 1.10 eV/f.u.

abc: 3.5596 15.9634 6.9550
angles: 90.00 90.00 90.00
Closest atoms and distances in Å follow each position.
Atoms (fractional coordinates):
1 La 0.0000 0.0000 0.0000  2 Pm 3.48, 4 Tm 3.54, 4 Er 3.55, 2 La 3.56
2 La 0.5000 0.5000 0.5000  2 Pm 3.48, 4 Tm 3.54, 4 Er 3.55, 2 La 3.56
3 Pm 0.5000 0.5000 0.0000  2 La 3.48, 4 Tm 3.54, 4 Er 3.55, 2 Pm 3.56
4 Pm 0.0000 0.0000 0.5000  2 La 3.48, 4 Tm 3.54, 4 Er 3.55, 2 Pm 3.56
5 Er 0.5000 0.8411 0.2503  4 Tm 3.42-3.48, 2 Pm 3.55, 2 La 3.55, 2 Er 3.56
6 Er 0.5000 0.1589 0.7497  4 Tm 3.42-3.48, 2 Pm 3.55, 2 La 3.55, 2 Er 3.56
7 Er 0.0000 0.6589 0.7503  4 Tm 3.42-3.48, 2 Pm 3.55, 2 La 3.55, 2 Er 3.56
8 Er 0.0000 0.3411 0.2497  4 Tm 3.42-3.48, 2 Pm 3.55, 2 La 3.55, 2 Er 3.56
9 Tm 0.5000 0.1579 0.2508  4 Er 3.42-3.48, 2 Pm 3.54, 2 La 3.54, 2 Tm 3.56
10 Tm 0.0000 0.6579 0.2492  4 Er 3.42-3.48, 2 Pm 3.54, 2 La 3.54, 2 Tm 3.56
11 Tm 0.5000 0.8421 0.7492  4 Er 3.42-3.48, 2 Pm 3.54, 2 La 3.54, 2 Tm 3.56
12 Tm 0.0000 0.3421 0.7508  4 Er 3.42-3.48, 2 Pm 3.54, 2 La 3.54, 2 Tm 3.56

---

3.
# LaPmEr2Tm4

A relaxed structure of LaPmEr2Tm4 (PBE, Alexandria via LeMat-Bulk).

Space-group type: No. 3
Energy of formation: 0.22 eV/f.u.

abc: 10.0820 9.9313 12.2182
angles: 144.35 114.33 90.02
Closest atoms and distances in Å follow each position.
Atoms (fractional coordinates):
1 La 0.5000 0.5004 0.5001  2 Er 3.56, 2 La 3.56-3.57, 8 Tm 3.56-3.57
2 La 0.9999 0.9997 0.9998  2 Pm 3.56, 2 La 3.56-3.57, 8 Tm 3.58
3 Pm 0.0001 0.5002 0.0001  8 Tm 3.53, 4 Er 3.56
4 Pm 0.0000 0.4999 0.5000  8 Tm 3.56, 2 La 3.56, 2 Er 3.56
5 Er 0.5001 0.0003 0.0001  8 Tm 3.54-3.55, 2 La 3.56, 2 Pm 3.56
6 Er 0.5000 0.9998 0.5000  8 Tm 3.51-3.52, 2 Er 3.56, 2 Pm 3.56
7 Er 0.0000 0.0001 0.5000  8 Tm 3.50-3.51, 2 Pm 3.56, 2 Er 3.56-3.57
8 Er 0.4999 0.4997 0.9999  8 Tm 3.49, 4 Er 3.56-3.57
9 Tm 0.2519 0.7445 0.9984  4 Er 3.49-3.55, 4 Tm 3.51-3.61, 2 Pm 3.53-3.56, 2 La 3.57-3.58
10 Tm 0.7480 0.2409 0.4948  4 Er 3.49-3.55, 4 Tm 3.51-3.61, 2 Pm 3.53-3.56, 2 La 3.57-3.58
11 Tm 0.2518 0.7591 0.5053  4 Er 3.49-3.54, 4 Tm 3.51-3.61, 2 Pm 3.53-3.56, 2 La 3.57-3.58
12 Tm 0.7484 0.2556 0.0017  4 Er 3.49-3.55, 4 Tm 3.51-3.61, 2 Pm 3.53-3.56, 2 La 3.57-3.58
13 Tm 0.7479 0.7474 0.0013  4 Er 3.49-3.55, 4 Tm 3.51-3.61, 2 Pm 3.53-3.56, 2 La 3.57-3.58
14 Tm 0.7482 0.7484 0.4946  4 Er 3.49-3.54, 4 Tm 3.51-3.61, 2 Pm 3.53-3.56, 2 La 3.57-3.58
15 Tm 0.2519 0.2517 0.5054  4 Er 3.49-3.54, 4 Tm 3.51-3.61, 2 Pm 3.53-3.56, 2 La 3.57-3.58
16 Tm 0.2518 0.2524 0.9986  4 Er 3.49-3.55, 4 Tm 3.51-3.61, 2 Pm 3.53-3.56, 2 La 3.56-3.58

---

4.
# La3PmErTm

A relaxed structure of La3PmErTm (PBE, Alexandria via LeMat-Bulk).

Space-group type: No. 11
Energy of formation: 0.21 eV/f.u.

abc: 5.2084 8.0712 10.8986
angles: 115.64 90.00 90.00
Closest atoms and distances in Å follow each position.
Atoms (fractional coordinates):
1 La 0.7500 0.8730 0.0436  3 Tm 3.61-3.65, 1 Er 3.62, 3 Pm 3.67-3.69, 5 La 3.68-3.69
2 La 0.2500 0.1270 0.9564  3 Tm 3.61-3.65, 1 Er 3.62, 3 Pm 3.67-3.69, 5 La 3.68-3.69
3 La 0.2500 0.6295 0.4589  3 Er 3.59-3.62, 1 Tm 3.62, 3 Pm 3.67-3.70, 5 La 3.68-3.69
4 La 0.7500 0.3705 0.5411  3 Er 3.59-3.62, 1 Tm 3.62, 3 Pm 3.67-3.70, 5 La 3.68-3.69
5 La 0.7500 0.3799 0.2067  3 Tm 3.60-3.62, 1 Er 3.62, 6 La 3.68-3.69, 2 Pm 3.70
6 La 0.2500 0.6201 0.7933  3 Tm 3.60-3.62, 1 Er 3.62, 6 La 3.68-3.69, 2 Pm 3.70
7 Pm 0.2500 0.1210 0.2927  1 Tm 3.59, 3 Er 3.59-3.62, 8 La 3.67-3.70
8 Pm 0.7500 0.8790 0.7073  1 Tm 3.59, 3 Er 3.59-3.62, 8 La 3.67-3.70
9 Er 0.2500 0.1233 0.6231  3 Pm 3.59-3.62, 5 La 3.59-3.62, 2 Er 3.65, 2 Tm 3.68
10 Er 0.7500 0.8767 0.3769  3 Pm 3.59-3.62, 5 La 3.59-3.62, 2 Er 3.65, 2 Tm 3.68
11 Tm 0.2500 0.6285 0.1262  1 Pm 3.59, 7 La 3.60-3.65, 2 Er 3.68, 2 Tm 3.70
12 Tm 0.7500 0.3715 0.8738  1 Pm 3.59, 7 La 3.60-3.65, 2 Er 3.68, 2 Tm 3.70

---

5.
# LaPmErTm

A relaxed structure of LaPmErTm (PBE, Alexandria via LeMat-Bulk).

Space-group type: No. 216
Energy of formation: 0.36 eV/f.u.
Relative energy among the computed polymorphs: 0.00 kJ per mole of atoms

abc: 5.7394 5.7394 5.7394
angles: 60.00 60.00 60.00
Closest atoms and distances in Å follow each position.
Atoms (fractional coordinates):
1 Tm 0.5000 0.5000 0.5000  4 La 3.51, 4 Pm 3.51
2 Pm 0.7500 0.7500 0.7500  4 Tm 3.51, 4 Er 3.51
3 La 0.2500 0.2500 0.2500  4 Er 3.51, 4 Tm 3.51
4 Er 0.0000 0.0000 0.0000  4 La 3.51, 4 Pm 3.51

---

6.
# La4PmErTm2

A relaxed structure of La4PmErTm2 (PBE, Alexandria via LeMat-Bulk).

Space-group type: No. 12
Energy of formation: 0.19 eV/f.u.

abc: 5.2303 6.2123 9.6468
angles: 87.55 74.27 65.10
Closest atoms and distances in Å follow each position.
Atoms (fractional coordinates):
1 La 0.1249 0.1258 0.6243  4 Tm 3.59-3.62, 3 Er 3.61-3.62, 1 Pm 3.62, 4 La 3.69-3.70
2 La 0.3751 0.3760 0.8738  1 Er 3.60, 4 Tm 3.61-3.63, 3 Pm 3.61-3.62, 4 La 3.70-3.71
3 La 0.8751 0.8742 0.3757  4 Tm 3.59-3.62, 3 Er 3.61-3.62, 1 Pm 3.62, 4 La 3.69-3.70
4 La 0.6249 0.6240 0.1262  1 Er 3.60, 4 Tm 3.61-3.63, 3 Pm 3.61-3.62, 4 La 3.70-3.71
5 Pm 0.0000 0.0000 0.0000  8 La 3.61-3.62, 4 Tm 3.71
6 Er 0.5000 0.5000 0.5000  8 La 3.60-3.62, 4 Tm 3.69
7 Tm 0.7515 0.7486 0.7485  8 La 3.59-3.63, 2 Er 3.69, 2 Pm 3.71
8 Tm 0.2485 0.2514 0.2515  8 La 3.59-3.63, 2 Er 3.69, 2 Pm 3.71

---

| no. | total magnetization (μB per cell) | energy (eV per atom) |
| --- | --- | --- |
| 1 | 0.00 | -4.56 |
| 2 | 0.00 | -4.44 |
| 3 | 0.00 | -4.56 |
| 4 | 0.00 | -4.73 |
| 5 | 0.00 | -4.59 |
| 6 | 0.00 | -4.72 |